Below is a relaxed structure of TbNd5Dy12, with properties calculated at the PBE-GGA level.

Unit cell a=11.7755 b=10.4553 c=5.7607 alpha=89.99 beta=89.98 gamma=55.73
Closest atoms and distances in Å follow each position.
Sites, in units of the cell vectors:
1 Dy 0.6663 0.3573 0.0004  5 Dy 3.33-3.65, 3 Nd 3.48-3.64, 1 Tb 3.59
2 Dy 0.1664 0.3587 0.4995  5 Dy 3.32-3.65, 4 Nd 3.47-3.65
3 Dy 0.3337 0.6427 0.9996  5 Dy 3.33-3.65, 3 Nd 3.48-3.64, 1 Tb 3.59
4 Dy 0.2990 0.0000 0.0020  2 Dy 3.11, 2 Nd 3.37
5 Dy 0.7010 0.0000 0.9980  2 Dy 3.11, 2 Nd 3.37
6 Dy 0.8336 0.6413 0.5005  5 Dy 3.32-3.65, 4 Nd 3.47-3.65
7 Dy 0.8013 0.0000 0.4981  2 Dy 3.11, 2 Nd 3.33
8 Dy 0.9763 0.3573 0.9996  5 Dy 3.33-3.65, 3 Nd 3.48-3.64, 1 Tb 3.59
9 Dy 0.5251 0.6413 0.4995  5 Dy 3.32-3.65, 4 Nd 3.47-3.65
10 Dy 0.4749 0.3587 0.5005  5 Dy 3.32-3.65, 4 Nd 3.47-3.65
11 Dy 0.0237 0.6427 0.0004  5 Dy 3.33-3.65, 3 Nd 3.48-3.64, 1 Tb 3.59
12 Dy 0.1987 0.0000 0.5019  2 Dy 3.11, 2 Nd 3.33
13 Nd 0.8626 0.2749 0.5000  8 Dy 3.33-3.65, 2 Tb 3.73
14 Nd 0.3608 0.2784 0.0000  8 Dy 3.37-3.64, 2 Nd 3.75
15 Nd 0.1374 0.7251 0.5000  8 Dy 3.33-3.65, 2 Tb 3.73
16 Nd 0.6392 0.7216 0.0000  8 Dy 3.37-3.64, 2 Nd 3.75
17 Nd 0.5000 0.0000 0.5000  10 Dy 3.55-3.74, 4 Nd 3.75
18 Tb 0.0000 0.0000 0.0000  10 Dy 3.52-3.72, 4 Nd 3.73

Computed properties:
Electronic total energy: -0.33511 Ry/atom
Formation energy: 90 meV/atom
Crystal system: monoclinic
M_tot: 0.00 Bohr magnetons per cell